A relaxed BRhC3 crystal. Source: Alexandria via LeMat-Bulk, functional PBE.

Summary:
Space group: No. 221
DOS at the Fermi energy, states/eV/atom: 0.28
Uncorrected energy, eV per atom: -5.26
Density, g/cm3: 4.01
Excess energy over the best structure of this formula in the dataset, meV/atom: 831
Calculated formation energy, eV/atom: 3.0793

Lattice parameters (Å, degrees): 3.957 3.957 3.957 90.00 90.00 90.00
Fractional positions:
C 0.000 0.500 0.000
C 0.000 0.000 0.500
C 0.500 0.000 0.000
B 0.500 0.500 0.500
Rh 0.000 0.000 0.000

***

A relaxed BRh2C crystal. Source: Alexandria via LeMat-Bulk, functional PBE.

Summary:
Space group: No. 225
DOS at the Fermi energy, states/eV/atom: 0.99
Uncorrected energy, eV per atom: -6.82
Density, g/cm3: 9.43
Excess energy over the best structure of this formula in the dataset, meV/atom: 553
Calculated formation energy, eV/atom: 0.8352

Lattice parameters (Å, degrees): 3.847 3.847 3.847 60.00 60.00 60.00
Fractional positions:
C 0.500 0.500 0.500
B 0.000 0.000 0.000
Rh 0.250 0.250 0.250
Rh 0.750 0.750 0.750

***

A relaxed BRh2C crystal. Source: Alexandria via LeMat-Bulk, functional PBE.

Summary:
Space group: No. 122
DOS at the Fermi energy, states/eV/atom: 0.58
Uncorrected energy, eV per atom: -7.37
Density, g/cm3: 7.58
Excess energy over the best structure of this formula in the dataset, meV/atom: 0
Calculated formation energy, eV/atom: 0.2824

Lattice parameters (Å, degrees): 4.671 4.671 5.657 65.62 65.62 90.00
Fractional positions:
C 0.000 0.000 0.000
C 0.750 0.250 0.500
B 0.500 0.500 0.000
B 0.250 0.750 0.500
Rh 0.637 0.125 0.250
Rh 0.113 0.625 0.250
Rh 0.375 0.363 0.750
Rh 0.875 0.887 0.750

***

A relaxed BRh3C crystal. Source: Alexandria via LeMat-Bulk, functional PBE.

Summary:
Space group: No. 221
DOS at the Fermi energy, states/eV/atom: 0.22
Uncorrected energy, eV per atom: -6.86
Density, g/cm3: 8.75
Excess energy over the best structure of this formula in the dataset, meV/atom: 0
Calculated formation energy, eV/atom: 0.7279

Lattice parameters (Å, degrees): 3.977 3.977 3.977 90.00 90.00 90.00
Fractional positions:
C 0.000 0.000 0.000
B 0.500 0.500 0.500
Rh 0.000 0.500 0.000
Rh 0.000 0.000 0.500
Rh 0.500 0.000 0.000

***

A relaxed BRh2CS crystal. Source: Alexandria via LeMat-Bulk, functional PBE.

Summary:
Formation energy without anion corrections, eV per atom: 1.7706
Space group: No. 123
DOS at the Fermi energy, states/eV/atom: 0.87
Uncorrected energy, eV per atom: -5.18
Density, g/cm3: 6.33

Lattice parameters (Å, degrees): 4.434 3.479 4.434 90.00 90.00 90.00
Fractional positions:
S 0.000 0.000 0.000
B 0.000 0.500 0.000
Rh 0.000 0.000 0.500
Rh 0.500 0.000 0.000
C 0.500 0.500 0.500

***

A relaxed SiBRhCS crystal. Source: Alexandria via LeMat-Bulk, functional PBE.

Summary:
Formation energy without anion corrections, eV per atom: -0.0431
Space group: No. 8
DOS at the Fermi energy, states/eV/atom: 0.18
Uncorrected energy, eV per atom: -6.60
Density, g/cm3: 4.44
Excess energy over the best structure of this formula in the dataset, meV/atom: 118

Lattice parameters (Å, degrees): 3.557 2.957 13.280 90.00 95.56 90.00
Fractional positions:
C 0.837 0.000 0.664
C 0.837 0.500 0.164
S 0.174 0.000 0.345
S 0.174 0.500 0.845
B 0.030 0.000 0.769
B 0.030 0.500 0.269
Rh 0.097 0.000 0.519
Rh 0.097 0.500 0.019
Si 0.618 0.000 0.096
Si 0.618 0.500 0.596